1.
Entry from Alexandria: crystalline Mo2PdN at its relaxed geometry (GGA-PBE).

Energy: -8.799 eV per atom
Formation energy from raw total energies: -0.004 eV per atom
Mass density: 9.101 Mg/m³
Density of states at the Fermi level: 7.30 states/eV/cell
Size of the total moment: 0.0 μB per cell

Lattice parameters (Å, degrees): 5.422 5.540 7.588 90.00 90.00 90.00
Fractional positions:
Mo: 0.190 0.250 0.750
Mo: 0.690 0.750 0.250
Mo: 0.690 0.250 0.250
Mo: 0.190 0.750 0.750
Mo: 0.593 0.999 0.920
Mo: 0.093 0.001 0.080
Mo: 0.093 0.501 0.420
Mo: 0.593 0.499 0.580
Pd: 0.032 0.001 0.446
Pd: 0.532 0.999 0.554
Pd: 0.532 0.499 0.946
Pd: 0.032 0.501 0.054
N: 0.935 0.000 0.834
N: 0.435 0.000 0.166
N: 0.435 0.500 0.334
N: 0.935 0.500 0.666

2.
Entry from Alexandria: crystalline Mo3Pd2N at its relaxed geometry (GGA-PBE).

Energy: -8.748 eV per atom
Formation energy from raw total energies: -0.214 eV per atom
Mass density: 10.503 Mg/m³
Density of states at the Fermi level: 11.89 states/eV/cell
Size of the total moment: 0.0 μB per cell

Lattice parameters (Å, degrees): 6.879 6.879 6.879 90.00 90.00 90.00
Fractional positions:
Mo: 0.798 0.048 0.125
Mo: 0.048 0.125 0.798
Mo: 0.548 0.375 0.202
Mo: 0.875 0.298 0.452
Mo: 0.125 0.798 0.048
Mo: 0.202 0.548 0.375
Mo: 0.298 0.452 0.875
Mo: 0.452 0.875 0.298
Mo: 0.625 0.702 0.952
Mo: 0.952 0.625 0.702
Mo: 0.375 0.202 0.548
Mo: 0.702 0.952 0.625
Pd: 0.190 0.190 0.190
Pd: 0.440 0.060 0.940
Pd: 0.940 0.440 0.060
Pd: 0.060 0.940 0.440
Pd: 0.310 0.810 0.690
Pd: 0.690 0.310 0.810
Pd: 0.810 0.690 0.310
Pd: 0.560 0.560 0.560
N: 0.875 0.875 0.875
N: 0.125 0.375 0.625
N: 0.625 0.125 0.375
N: 0.375 0.625 0.125

3.
Entry from Alexandria: crystalline Mo2PdN at its relaxed geometry (GGA-PBE).

Energy: -8.562 eV per atom
Formation energy from raw total energies: 0.233 eV per atom
Mass density: 9.368 Mg/m³
Density of states at the Fermi level: 3.42 states/eV/cell
Size of the total moment: 0.0 μB per cell

Lattice parameters (Å, degrees): 2.812 2.812 8.243 80.18 80.18 60.00
Fractional positions:
Mo: 0.108 0.108 0.675
Mo: 0.892 0.892 0.325
Pd: 0.000 0.000 0.000
N: 0.500 0.500 0.500

4.
Entry from Alexandria: crystalline Mo2PdN at its relaxed geometry (GGA-PBE).

Energy: -8.902 eV per atom
Formation energy from raw total energies: -0.107 eV per atom
Mass density: 9.992 Mg/m³
Density of states at the Fermi level: 3.50 states/eV/cell
Size of the total moment: 0.0 μB per cell

Lattice parameters (Å, degrees): 2.859 2.859 7.516 79.04 79.04 60.00
Fractional positions:
Mo: 0.063 0.063 0.812
Mo: 0.270 0.270 0.191
Pd: 0.503 0.503 0.492
N: 0.665 0.665 0.005

5.
Entry from Alexandria: crystalline Mo3PdN at its relaxed geometry (GGA-PBE).

Energy: -9.354 eV per atom
Formation energy from raw total energies: -0.151 eV per atom
Mass density: 9.866 Mg/m³
Density of states at the Fermi level: 6.56 states/eV/cell
Size of the total moment: 0.0 μB per cell

Lattice parameters (Å, degrees): 6.410 6.410 4.133 90.00 90.00 54.02
Fractional positions:
Mo: 0.000 0.500 0.000
Mo: 0.127 0.127 0.500
Mo: 0.873 0.873 0.500
Mo: 0.500 0.000 0.000
Mo: 0.727 0.273 0.000
Mo: 0.273 0.727 0.000
Pd: 0.376 0.376 0.500
Pd: 0.624 0.624 0.500
N: 0.882 0.882 0.000
N: 0.118 0.118 0.000

6.
Entry from Alexandria: crystalline MoPdS2N at its relaxed geometry (GGA-PBE).

Energy: -5.401 eV per atom
Formation energy from raw total energies: 1.120 eV per atom
Mass density: 5.351 Mg/m³
Density of states at the Fermi level: 3.65 states/eV/cell
Size of the total moment: 3.1 μB per cell

Lattice parameters (Å, degrees): 4.862 4.862 3.683 90.00 90.00 90.00
Each line ends with the local moment (μB).
Fractional positions:
Mo: 0.500 0.500 0.500  3.15
S: 0.000 0.500 0.000  -0.12
S: 0.500 0.000 0.000  -0.12
Pd: 0.000 0.000 0.000  -0.05
N: 0.000 0.000 0.500  -0.18

7.
Entry from Alexandria: crystalline MoPdSN2 at its relaxed geometry (GGA-PBE).

Energy: -6.803 eV per atom
Formation energy from raw total energies: 0.558 eV per atom
Mass density: 5.753 Mg/m³
Density of states at the Fermi level: 3.10 states/eV/cell
Size of the total moment: 0.7 μB per cell

Lattice parameters (Å, degrees): 3.847 3.847 5.119 90.00 90.00 90.00
Each line ends with the local moment (μB).
Fractional positions:
Mo: 0.000 0.000 0.000  -0.13
S: 0.000 0.000 0.500  0.05
Pd: 0.500 0.500 0.500  0.25
N: 0.000 0.500 0.000  0.20
N: 0.500 0.000 0.000  0.20

8.
Entry from Alexandria: crystalline MoPdS2N at its relaxed geometry (GGA-PBE).

Energy: -6.134 eV per atom
Formation energy from raw total energies: 0.386 eV per atom
Mass density: 5.377 Mg/m³
Density of states at the Fermi level: 5.80 states/eV/cell
Size of the total moment: 0.0 μB per cell

Lattice parameters (Å, degrees): 4.794 4.794 3.768 90.00 90.00 90.00
Fractional positions:
Mo: 0.000 0.000 0.000
S: 0.000 0.500 0.000
S: 0.500 0.000 0.000
Pd: 0.500 0.500 0.500
N: 0.000 0.000 0.500